! CdSN2 | Alexandria via LeMat-Bulk | SCAN | single point on PBEsol structure; values from VASP
! size of the total moment: 0.00 μB per cell
! calculated total energy: -0.997 Ry/atom
! energy relative to the elements, uncorrected: 423 kJ/mol of formula units
&SYSTEM
  ibrav = 0, nat = 8, ntyp = 3
/
ATOMIC_SPECIES
S 32.06 S.upf
N 14.01 N.upf
Cd 112.41 Cd.upf
ATOMIC_POSITIONS angstrom
S -1.0558 -2.1972 -2.1879
N -1.9264 -3.3499 -0.9808
N -2.4593 -0.9580 -2.3844
Cd -2.3940 -2.2255 0.9383
N -2.9012 0.8787 2.5989
N -3.9208 -0.6195 0.4329
Cd 0.0000 0.0000 0.0000
S -3.2098 0.2012 -1.1050
CELL_PARAMETERS angstrom
-1.8717 0.2295 -4.2312
-0.2400 -4.6239 -0.1447
-3.4921 2.3700 4.2091